Run A
VASP calculation (PBE) on InGaC3 after structural relaxation.

a b c (Å): 4.373 4.373 4.373
angles (deg): 90.00 90.00 90.00
Positions (direct):
C (0.500, 0.000, 0.000)
In (0.000, 0.000, 0.000)
C (0.000, 0.000, 0.500)
C (0.000, 0.500, 0.000)
Ga (0.500, 0.500, 0.500)

Its density of states at the Fermi level is 4.1 states/eV/f.u. As for the total moment: 0.00 μB/f.u. The volume comes out at 16.73 Å³/atom.

Run B
VASP calculation (PBE) on InGaC3 after structural relaxation.

a b c (Å): 4.074 4.074 4.074
angles (deg): 90.00 90.00 90.00
Positions (direct):
C (0.000, 0.500, 0.000)
C (0.500, 0.000, 0.000)
C (0.000, 0.000, 0.500)
Ga (0.000, 0.000, 0.000)
In (0.500, 0.500, 0.500)

Its density of states at the Fermi level is 3.8 states/eV/f.u. As for the total moment: 0.00 μB/f.u. The volume comes out at 13.52 Å³/atom.

How do the energies compare? Relative to the most stable structure, in eV/atom: run A 0.585; run B 0.000.

Run A
VASP calculation (PBE) on InGaC2 after structural relaxation.

a b c (Å): 4.174 4.174 4.174
angles (deg): 60.00 60.00 60.00
Positions (direct):
C (0.750, 0.750, 0.750)
C (0.250, 0.250, 0.250)
In (0.500, 0.500, 0.500)
Ga (0.000, 0.000, 0.000)

Its density of states at the Fermi level is 2.5 states/eV/f.u. As for the total moment: 0.00 μB/f.u. The volume comes out at 12.86 Å³/atom.

Run B
VASP calculation (PBE) on InGaC2 after structural relaxation.

a b c (Å): 4.952 4.952 6.009
angles (deg): 65.67 65.67 90.00
Positions (direct):
C (0.588, 0.125, 0.250)
Ga (0.250, 0.750, 0.500)
In (0.750, 0.250, 0.500)
In (0.000, 0.000, 0.000)
Ga (0.500, 0.500, 0.000)
C (0.162, 0.625, 0.250)
C (0.375, 0.412, 0.750)
C (0.875, 0.838, 0.750)

Its density of states at the Fermi level is 2.3 states/eV/f.u. As for the total moment: 0.00 μB/f.u. The volume comes out at 14.97 Å³/atom.

How do the energies compare? Relative to the most stable structure, in eV/atom: run A 0.842; run B 0.000.

Run A
VASP calculation (PBE) on TiInGaNiC after structural relaxation.

a b c (Å): 8.970 3.176 5.413
angles (deg): 90.00 101.26 90.00
Positions (direct):
Ti (0.093, 0.000, 0.201)
C (0.973, 0.500, 0.329)
Ni (0.876, 0.500, 0.965)
In (0.632, 0.000, 0.718)
Ni (0.876, 0.000, 0.465)
Ti (0.093, 0.500, 0.701)
Ga (0.346, 0.500, 0.456)
Ga (0.346, 0.000, 0.956)
C (0.973, 0.000, 0.829)
In (0.632, 0.500, 0.218)

Its density of states at the Fermi level is 5.5 states/eV/f.u. As for the total moment: 0.39 μB/f.u. The volume comes out at 15.12 Å³/atom.

Run B
VASP calculation (PBE) on TiInGaNiC after structural relaxation.

a b c (Å): 3.141 3.145 8.942
angles (deg): 89.06 89.21 60.40
Positions (direct):
C (0.883, 0.660, 0.530)
Ti (0.547, 0.323, 0.645)
In (0.889, 0.672, 0.199)
Ni (0.218, 0.997, 0.429)
Ga (0.879, 0.653, 0.892)

Its density of states at the Fermi level is 5.7 states/eV/f.u. As for the total moment: 0.00 μB/f.u. The volume comes out at 15.36 Å³/atom.

Run C
VASP calculation (PBE) on TiInGaNiC after structural relaxation.

a b c (Å): 6.716 3.216 7.850
angles (deg): 90.00 120.76 90.00
Positions (direct):
C (0.288, 0.000, 0.011)
Ti (0.365, 0.500, 0.210)
Ni (0.956, 0.000, 0.976)
Ga (0.106, 0.000, 0.322)
C (0.288, 0.500, 0.511)
In (0.701, 0.000, 0.566)
Ga (0.106, 0.500, 0.822)
Ni (0.956, 0.500, 0.476)
In (0.701, 0.500, 0.066)
Ti (0.365, 0.000, 0.710)

Its density of states at the Fermi level is 2.7 states/eV/f.u. As for the total moment: 0.00 μB/f.u. The volume comes out at 14.57 Å³/atom.

How do the energies compare? Relative to the most stable structure, in eV/atom: run A 0.007; run B 0.000; run C 0.163.

Run A
VASP calculation (PBE) on TiInGaNiC after structural relaxation.

a b c (Å): 3.082 5.028 5.319
angles (deg): 109.96 89.98 107.83
Positions (direct):
Ga (0.925, 0.643, 0.357)
C (0.556, 0.905, 0.282)
Ti (0.159, 0.113, 0.170)
In (0.372, 0.538, 0.809)
Ni (0.628, 0.050, 0.687)

Its density of states at the Fermi level is 1.2 states/eV/f.u. As for the total moment: 0.00 μB/f.u. The volume comes out at 14.65 Å³/atom.

Run B
VASP calculation (PBE) on TiInGaNiC after structural relaxation.

a b c (Å): 3.152 3.152 26.724
angles (deg): 90.00 90.00 120.00
Positions (direct):
In (0.333, 0.667, 0.758)
In (0.000, 0.000, 0.091)
C (0.333, 0.667, 0.647)
In (0.667, 0.333, 0.424)
Ga (0.667, 0.333, 0.527)
Ga (0.333, 0.667, 0.860)
Ti (0.667, 0.333, 0.941)
C (0.000, 0.000, 0.980)
Ni (0.667, 0.333, 0.679)
C (0.667, 0.333, 0.313)
Ti (0.333, 0.667, 0.274)
Ni (0.333, 0.667, 0.013)
Ni (0.000, 0.000, 0.346)
Ti (0.000, 0.000, 0.608)
Ga (0.000, 0.000, 0.194)

Its density of states at the Fermi level is 5.4 states/eV/f.u. As for the total moment: 0.02 μB/f.u. The volume comes out at 15.33 Å³/atom.

Run C
VASP calculation (PBE) on TiInGaNiC after structural relaxation.

a b c (Å): 9.150 3.228 5.344
angles (deg): 90.00 106.20 90.00
Positions (direct):
Ni (0.687, 0.500, 0.713)
C (0.584, 0.000, 0.495)
In (0.920, 0.500, 0.489)
In (0.920, 0.000, 0.989)
Ga (0.222, 0.500, 0.497)
Ti (0.469, 0.500, 0.275)
Ga (0.222, 0.000, 0.997)
Ti (0.469, 0.000, 0.775)
C (0.584, 0.500, 0.995)
Ni (0.687, 0.000, 0.213)

Its density of states at the Fermi level is 4.9 states/eV/f.u. As for the total moment: 0.00 μB/f.u. The volume comes out at 15.16 Å³/atom.

Run D
VASP calculation (PBE) on TiInGaNiC after structural relaxation.

a b c (Å): 4.911 3.039 5.038
angles (deg): 90.00 107.89 90.00
Positions (direct):
Ti (0.221, 0.000, 0.244)
Ga (0.694, 0.500, 0.149)
Ni (0.609, 0.000, 0.738)
C (0.458, 0.500, 0.465)
In (0.075, 0.500, 0.710)

Its density of states at the Fermi level is 2.7 states/eV/f.u. As for the total moment: 0.00 μB/f.u. The volume comes out at 14.31 Å³/atom.

How do the energies compare? Relative to the most stable structure, in eV/atom: run A 0.194; run B 0.008; run C 0.000; run D 0.111.

Run A
VASP calculation (PBE) on TiInGaNiC after structural relaxation.

a b c (Å): 3.987 3.263 5.554
angles (deg): 90.00 97.01 90.00
Positions (direct):
Ni (0.195, 0.000, 0.510)
Ti (0.724, 0.500, 0.715)
C (0.684, 0.000, 0.481)
Ga (0.816, 0.500, 0.240)
In (0.276, 0.000, 0.997)

Its density of states at the Fermi level is 2.4 states/eV/f.u. As for the total moment: 0.00 μB/f.u. The volume comes out at 14.34 Å³/atom.

Run B
VASP calculation (PBE) on TiInGaNiC after structural relaxation.

a b c (Å): 4.899 3.049 10.924
angles (deg): 90.00 116.57 90.00
Positions (direct):
In (0.944, 0.000, 0.182)
Ti (0.442, 0.500, 0.949)
In (0.944, 0.500, 0.682)
Ni (0.397, 0.000, 0.679)
Ga (0.887, 0.000, 0.905)
Ga (0.887, 0.500, 0.405)
C (0.386, 0.000, 0.060)
C (0.386, 0.500, 0.560)
Ni (0.397, 0.500, 0.179)
Ti (0.442, 0.000, 0.449)

Its density of states at the Fermi level is 1.8 states/eV/f.u. As for the total moment: 0.00 μB/f.u. The volume comes out at 14.60 Å³/atom.

Run C
VASP calculation (PBE) on TiInGaNiC after structural relaxation.

a b c (Å): 3.024 5.332 5.578
angles (deg): 61.55 74.34 73.56
Positions (direct):
In (0.966, 0.613, 0.327)
C (0.670, 0.046, 0.494)
Ga (0.758, 0.477, 0.888)
Ti (0.055, 0.021, 0.750)
Ni (0.275, 0.093, 0.236)

Its density of states at the Fermi level is 2.2 states/eV/f.u. As for the total moment: 0.00 μB/f.u. The volume comes out at 14.97 Å³/atom.

How do the energies compare? Relative to the most stable structure, in eV/atom: run A 0.000; run B 0.038; run C 0.061.

Run A
VASP calculation (PBE) on TiInGaNiC after structural relaxation.

a b c (Å): 5.065 3.093 10.080
angles (deg): 90.00 115.94 90.00
Positions (direct):
C (0.305, 0.000, 0.730)
Ni (0.749, 0.000, 0.820)
C (0.305, 0.500, 0.230)
Ga (0.157, 0.500, 0.833)
Ga (0.157, 0.000, 0.333)
Ti (0.326, 0.500, 0.604)
Ti (0.326, 0.000, 0.104)
In (0.769, 0.000, 0.542)
In (0.769, 0.500, 0.042)
Ni (0.749, 0.500, 0.320)

Its density of states at the Fermi level is 1.6 states/eV/f.u. As for the total moment: 0.00 μB/f.u. The volume comes out at 14.20 Å³/atom.

Run B
VASP calculation (PBE) on TiInGaNiC after structural relaxation.

a b c (Å): 4.670 3.056 5.398
angles (deg): 90.00 99.68 90.00
Positions (direct):
Ga (0.658, 0.500, 0.157)
Ti (0.171, 0.000, 0.314)
C (0.421, 0.500, 0.478)
In (0.113, 0.500, 0.805)
Ni (0.693, 0.000, 0.551)

Its density of states at the Fermi level is 2.8 states/eV/f.u. As for the total moment: 0.00 μB/f.u. The volume comes out at 15.19 Å³/atom.

How do the energies compare? Relative to the most stable structure, in eV/atom: run A 0.000; run B 0.027.

Run A
VASP calculation (PBE) on Ga3IrC after structural relaxation.

a b c (Å): 4.796 4.796 4.796
angles (deg): 90.00 90.00 90.00
Positions (direct):
Ga (0.500, 0.000, 0.000)
Ir (0.000, 0.000, 0.000)
C (0.500, 0.500, 0.500)
Ga (0.000, 0.500, 0.000)
Ga (0.000, 0.000, 0.500)

Its density of states at the Fermi level is 1.7 states/eV/f.u. As for the total moment: 2.23 μB/f.u. The volume comes out at 22.06 Å³/atom.

Run B
VASP calculation (PBE) on Ga3IrC after structural relaxation.

a b c (Å): 4.157 4.157 4.157
angles (deg): 90.00 90.00 90.00
Positions (direct):
C (0.000, 0.000, 0.000)
Ir (0.500, 0.500, 0.500)
Ga (0.500, 0.000, 0.000)
Ga (0.000, 0.500, 0.000)
Ga (0.000, 0.000, 0.500)

Its density of states at the Fermi level is 3.2 states/eV/f.u. As for the total moment: 0.00 μB/f.u. The volume comes out at 14.37 Å³/atom.

How do the energies compare? Relative to the most stable structure, in eV/atom: run A 0.283; run B 0.000.

Run A
VASP calculation (PBE) on La6Ga2C after structural relaxation.

a b c (Å): 6.662 8.575 9.618
angles (deg): 90.00 85.06 90.00
Positions (direct):
La (0.829, 0.644, 0.052)
La (0.127, 0.283, 0.556)
La (0.611, 0.459, 0.743)
Ga (0.933, 0.388, 0.267)
La (0.171, 0.356, 0.948)
La (0.329, 0.856, 0.552)
La (0.627, 0.217, 0.056)
Ga (0.567, 0.888, 0.233)
Ga (0.433, 0.112, 0.767)
La (0.373, 0.783, 0.944)
La (0.671, 0.144, 0.448)
La (0.111, 0.041, 0.243)
C (0.000, 0.000, 0.500)
Ga (0.067, 0.612, 0.733)
La (0.889, 0.959, 0.757)
La (0.389, 0.541, 0.257)
C (0.500, 0.500, 0.000)
La (0.873, 0.717, 0.444)

Its density of states at the Fermi level is 11.7 states/eV/f.u. As for the total moment: 0.00 μB/f.u. The volume comes out at 30.41 Å³/atom.

Run B
VASP calculation (PBE) on La6Ga2C after structural relaxation.

a b c (Å): 7.272 7.272 11.176
angles (deg): 90.00 90.00 90.00
Positions (direct):
La (0.246, 0.246, 0.000)
La (0.254, 0.746, 0.500)
La (0.806, 0.194, 0.153)
Ga (0.500, 0.500, 0.131)
La (0.754, 0.754, 0.000)
C (0.500, 0.500, 0.500)
La (0.694, 0.694, 0.347)
La (0.746, 0.254, 0.500)
La (0.194, 0.806, 0.847)
Ga (0.000, 0.000, 0.631)
La (0.306, 0.306, 0.347)
La (0.806, 0.194, 0.847)
La (0.306, 0.306, 0.653)
C (0.000, 0.000, 0.000)
La (0.694, 0.694, 0.653)
Ga (0.000, 0.000, 0.369)
Ga (0.500, 0.500, 0.869)
La (0.194, 0.806, 0.153)

Its density of states at the Fermi level is 7.9 states/eV/f.u. As for the total moment: 0.00 μB/f.u. The volume comes out at 32.83 Å³/atom.

How do the energies compare? Relative to the most stable structure, in eV/atom: run A 0.000; run B 0.163.